Below is a relaxed structure of Tb8Nd2Th, with properties calculated at the PBE level.

abc: 9.484 9.484 8.017
angles: 104.60 104.60 31.03
Sites, in units of the cell vectors:
Tb  0.044  0.044  0.233
Tb  0.134  0.134  0.677
Tb  0.320  0.320  0.593
Tb  0.411  0.411  0.049
Tb  0.589  0.589  0.951
Tb  0.680  0.680  0.407
Tb  0.866  0.866  0.323
Tb  0.956  0.956  0.767
Nd  0.228  0.228  0.137
Nd  0.772  0.772  0.863
Th  0.500  0.500  0.500

Properties
ΔH_f (0 K) in eV/f.u.: 0.3
Total moment in Bohr magnetons per cell: 0.0
SG: C2/m